No. 1
A plane-wave DFT calculation with SCAN was carried out for Sr2LiAg2 at its PBEsol-relaxed geometry.

Properties
Energy above the most stable polymorph in this dataset ... 0.000 eV per atom
M_tot ... 0.002 μB per atom
Formation energy ... -0.247 eV per atom
Symmetry ... No. 127
Calculated volume ... 289.6 Å³ per cell

a = 4.3544 Å, b = 8.1554 Å, c = 8.1554 Å
α = 90.00°, β = 90.00°, γ = 90.00°
Closest atoms and distances in Å follow each position.
Element x y z (fractional)
1 Sr 0.5000 0.1741 0.6741  6 Ag 3.20-3.28
2 Sr 0.5000 0.8259 0.3259  6 Ag 3.20-3.28
3 Sr 0.5000 0.6741 0.8259  6 Ag 3.20-3.28
4 Sr 0.5000 0.3259 0.1741  6 Ag 3.20-3.28
5 Ag 0.0000 0.6221 0.1221  1 Ag 2.82
6 Ag 0.0000 0.1221 0.3779  1 Ag 2.82
7 Ag 0.0000 0.3779 0.8779  1 Ag 2.82
8 Ag 0.0000 0.8779 0.6221  1 Ag 2.82
9 Li 0.0000 0.0000 0.0000  4 Ag 3.24
10 Li 0.0000 0.5000 0.5000  4 Ag 3.24


No. 2
A plane-wave DFT calculation with SCAN was carried out for Cs2LaZrPd at its PBEsol-relaxed geometry.

Properties
M_tot ... 0.348 μB per atom
Formation energy ... 0.930 eV per atom
Symmetry ... No. 123
Calculated volume ... 191.3 Å³ per cell

a = 5.2722 Å, b = 6.0231 Å, c = 6.0231 Å
α = 90.00°, β = 90.00°, γ = 90.00°
Closest atoms and distances in Å follow each position.
Element x y z (fractional)
1 Pd 0.0000 0.0000 0.0000  2 Zr 2.64
2 Zr 0.5000 0.0000 0.0000  2 Pd 2.64
3 Cs 0.0000 0.0000 0.5000  2 Pd 3.01
4 Cs 0.0000 0.5000 0.0000  2 Pd 3.01
5 La 0.5000 0.5000 0.5000  8 Cs 4.00, 4 Zr 4.26


No. 3
A plane-wave DFT calculation with SCAN was carried out for LiCa2Br at its PBEsol-relaxed geometry.

Properties
Energy above the most stable polymorph in this dataset ... 0.055 eV per atom
M_tot ... 0.003 μB per atom
Formation energy without anion corrections ... -57.2 kJ per mole of atoms
Symmetry ... No. 8
Calculated volume ... 120.6 Å³ per cell

a = 3.6456 Å, b = 6.0134 Å, c = 6.4050 Å
α = 115.20°, β = 106.53°, γ = 90.00°
Closest atoms and distances in Å follow each position.
Element x y z (fractional)
1 Br 0.7663 0.1803 0.5326  2 Li 2.90, 4 Ca 3.07-3.14
2 Li 0.4551 0.4970 0.9102  2 Br 2.90
3 Ca 0.2381 0.7467 0.4762  2 Br 3.07
4 Ca 0.0405 0.0760 0.0810  2 Br 3.14


No. 4
A plane-wave DFT calculation with SCAN was carried out for NiMoCl at its PBEsol-relaxed geometry.

Properties
M_tot ... 0.000 μB per atom
Formation energy without anion corrections ... 27.2 kJ per mole of atoms
Symmetry ... No. 107
Calculated volume ... 46.1 Å³ per cell

a = 2.8220 Å, b = 2.8220 Å, c = 6.1232 Å
α = 103.32°, β = 103.32°, γ = 90.00°
Closest atoms and distances in Å follow each position.
Element x y z (fractional)
1 Ni 0.3014 0.3014 0.6028  4 Mo 2.51
2 Cl 0.0287 0.0287 0.0574  4 Mo 2.58, 4 Cl 2.82
3 Mo 0.6699 0.6699 0.3397  4 Ni 2.51, 4 Cl 2.58


No. 5
A plane-wave DFT calculation with SCAN was carried out for FeCuPt2 at its PBEsol-relaxed geometry.

Properties
M_tot ... 0.909 μB per atom
Formation energy ... -0.240 eV per atom
Symmetry ... No. 12
Calculated volume ... 53.8 Å³ per cell

a = 2.6936 Å, b = 4.5236 Å, c = 4.7009 Å
α = 99.86°, β = 90.00°, γ = 107.32°
Closest atoms and distances in Å follow each position.
Element x y z (fractional)
1 Pt 0.2510 0.5019 0.2506  3 Fe 2.63-2.64, 3 Cu 2.63-2.64, 6 Pt 2.69-2.71
2 Pt 0.7490 0.4981 0.7494  3 Fe 2.63-2.64, 3 Cu 2.63-2.64, 6 Pt 2.69-2.71
3 Fe 0.0000 0.0000 0.5000  6 Pt 2.63-2.64, 2 Fe 2.69, 4 Cu 2.71
4 Cu 0.5000 0.0000 0.0000  6 Pt 2.63-2.64, 2 Cu 2.69, 4 Fe 2.71


No. 6
A plane-wave DFT calculation with SCAN was carried out for TiSiAu2 at its PBEsol-relaxed geometry.

Properties
M_tot ... 0.000 μB per atom
Formation energy without anion corrections ... -15.0 kJ per mole of atoms
Symmetry ... No. 122
Calculated volume ... 136.5 Å³ per cell

a = 3.7593 Å, b = 3.7593 Å, c = 10.0181 Å
α = 100.81°, β = 100.81°, γ = 90.00°
Closest atoms and distances in Å follow each position.
Element x y z (fractional)
1 Au 0.3786 0.8750 0.2500  4 Au 2.64-2.68, 2 Si 2.75, 2 Ti 2.76
2 Au 0.6250 0.6214 0.7500  4 Au 2.64-2.68, 2 Si 2.75, 2 Ti 2.76
3 Au 0.1250 0.1286 0.7500  4 Au 2.64-2.68, 2 Si 2.75, 2 Ti 2.76
4 Au 0.8714 0.3750 0.2500  4 Au 2.64-2.68, 2 Si 2.75, 2 Ti 2.76
5 Si 0.7500 0.2500 0.5000  4 Ti 2.66, 4 Au 2.75
6 Si 0.5000 0.5000 0.0000  4 Ti 2.66, 4 Au 2.75
7 Ti 0.2500 0.7500 0.5000  4 Si 2.66, 4 Au 2.76
8 Ti 0.0000 0.0000 0.0000  4 Si 2.66, 4 Au 2.76


No. 7
A plane-wave DFT calculation with SCAN was carried out for CaTlAg at its PBEsol-relaxed geometry.

Properties
M_tot ... 0.000 μB per atom
Formation energy ... -0.409 eV per atom
Symmetry ... No. 187
Calculated volume ... 71.8 Å³ per cell

a = 3.5026 Å, b = 4.8668 Å, c = 4.8668 Å
α = 120.00°, β = 90.00°, γ = 90.00°
Closest atoms and distances in Å follow each position.
Element x y z (fractional)
1 Ag 0.5000 0.0000 0.0000  3 Tl 2.81
2 Tl 0.5000 0.6667 0.3333  3 Ag 2.81
3 Ca 0.0000 0.3333 0.6667  6 Ag 3.31, 6 Tl 3.31, 2 Ca 3.50


No. 8
A plane-wave DFT calculation with SCAN was carried out for BaYPb2 at its PBEsol-relaxed geometry.

Properties
M_tot ... 0.000 μB per atom
Formation energy ... -0.593 eV per atom
Symmetry ... No. 44
Calculated volume ... 133.8 Å³ per cell

a = 4.3680 Å, b = 4.8881 Å, c = 7.0725 Å
α = 110.22°, β = 107.99°, γ = 90.00°
Closest atoms and distances in Å follow each position.
Element x y z (fractional)
1 Pb 0.6946 0.1946 0.3892  2 Pb 3.16, 2 Y 3.30, 4 Ba 3.43
2 Pb 0.0126 0.0126 0.0252  2 Pb 3.16, 4 Y 3.28
3 Ba 0.2753 0.7753 0.5505  6 Pb 3.43-3.69
4 Y 0.5175 0.5175 0.0351  6 Pb 3.28-3.30


Please write out number 4 again, unchanged.
A plane-wave DFT calculation with SCAN was carried out for NiMoCl at its PBEsol-relaxed geometry.

Properties
M_tot ... 0.000 μB per atom
Formation energy without anion corrections ... 27.2 kJ per mole of atoms
Symmetry ... No. 107
Calculated volume ... 46.1 Å³ per cell

a = 2.8220 Å, b = 2.8220 Å, c = 6.1232 Å
α = 103.32°, β = 103.32°, γ = 90.00°
Closest atoms and distances in Å follow each position.
Element x y z (fractional)
1 Ni 0.3014 0.3014 0.6028  4 Mo 2.51
2 Cl 0.0287 0.0287 0.0574  4 Mo 2.58, 4 Cl 2.82
3 Mo 0.6699 0.6699 0.3397  4 Ni 2.51, 4 Cl 2.58


Repeat the eighth record exactly.
A plane-wave DFT calculation with SCAN was carried out for BaYPb2 at its PBEsol-relaxed geometry.

Properties
M_tot ... 0.000 μB per atom
Formation energy ... -0.593 eV per atom
Symmetry ... No. 44
Calculated volume ... 133.8 Å³ per cell

a = 4.3680 Å, b = 4.8881 Å, c = 7.0725 Å
α = 110.22°, β = 107.99°, γ = 90.00°
Closest atoms and distances in Å follow each position.
Element x y z (fractional)
1 Pb 0.6946 0.1946 0.3892  2 Pb 3.16, 2 Y 3.30, 4 Ba 3.43
2 Pb 0.0126 0.0126 0.0252  2 Pb 3.16, 4 Y 3.28
3 Ba 0.2753 0.7753 0.5505  6 Pb 3.43-3.69
4 Y 0.5175 0.5175 0.0351  6 Pb 3.28-3.30